(1)
Density functional theory data (meta-GGA SCAN) for a crystal of SbOs3S relaxed with PBEsol.

abc: 4.8118 4.8118 4.8118
angles: 90.00 90.00 90.00
Last column: nearest neighbours and their distance in Å.
Element x y z (fractional)
Sb (0.0000, 0.0000, 0.0000)  6 Os 2.41
Os (0.0000, 0.0000, 0.5000)  2 Sb 2.41
Os (0.0000, 0.5000, 0.0000)  2 Sb 2.41
Os (0.5000, 0.0000, 0.0000)  2 Sb 2.41
S (0.5000, 0.5000, 0.5000)  12 Os 3.40

Summary:
- total magnetic moment (μB/cell) = 0.63
- density of states at the Fermi level (states/eV/atom) = 1.285
- crystal system = cubic
- energy (eV/atom) = -49.56



(2)
Density functional theory data (meta-GGA SCAN) for a crystal of CdSi3O relaxed with PBEsol.

abc: 4.2411 4.2411 4.2411
angles: 90.00 90.00 90.00
Last column: nearest neighbours and their distance in Å.
Element x y z (fractional)
Cd (0.0000, 0.0000, 0.0000)  12 Si 3.00
Si (0.0000, 0.5000, 0.5000)  2 O 2.12
Si (0.5000, 0.0000, 0.5000)  2 O 2.12
Si (0.5000, 0.5000, 0.0000)  2 O 2.12
O (0.5000, 0.5000, 0.5000)  6 Si 2.12

Summary:
- total magnetic moment (μB/cell) = 0.00
- density of states at the Fermi level (states/eV/atom) = 0.226
- crystal system = cubic
- energy (eV/atom) = -12.98



(3)
Density functional theory data (meta-GGA SCAN) for a crystal of ZnGaMo3 relaxed with PBEsol.

abc: 4.4917 4.4917 4.4917
angles: 90.00 90.00 90.00
Last column: nearest neighbours and their distance in Å.
Element x y z (fractional)
Zn (0.0000, 0.0000, 0.0000)  6 Mo 2.25
Ga (0.5000, 0.5000, 0.5000)  12 Mo 3.18
Mo (0.0000, 0.0000, 0.5000)  2 Zn 2.25
Mo (0.0000, 0.5000, 0.0000)  2 Zn 2.25
Mo (0.5000, 0.0000, 0.0000)  2 Zn 2.25

Summary:
- total magnetic moment (μB/cell) = 0.00
- density of states at the Fermi level (states/eV/atom) = 1.228
- energy of formation (meV/atom) = 1634
- crystal system = cubic
- energy (eV/atom) = -25.27



(4)
Density functional theory data (meta-GGA SCAN) for a crystal of TlTeBr2 relaxed with PBEsol.

abc: 3.8624 4.4827 14.4580
angles: 90.00 90.00 90.00
Last column: nearest neighbours and their distance in Å.
Element x y z (fractional)
Tl (0.0000, 0.0000, 0.0000)  4 Br 3.12, 2 Te 3.38
Tl (0.5000, 0.5000, 0.5000)  4 Br 3.12, 2 Te 3.38
Te (0.0000, 0.5000, 0.3084)  4 Br 2.96
Te (0.5000, 0.0000, 0.8084)  4 Br 2.96
Br (0.0000, 0.0000, 0.5686)  4 Tl 3.12
Br (0.0000, 0.5000, 0.7962)  4 Te 2.96
Br (0.5000, 0.0000, 0.2962)  4 Te 2.96
Br (0.5000, 0.5000, 0.0686)  4 Tl 3.12

Summary:
- total magnetic moment (μB/cell) = 0.00
- density of states at the Fermi level (states/eV/atom) = 0.622
- distance to the lowest polymorph of the same formula (meV/atom) = 0
- crystal system = orthorhombic
- energy (eV/atom) = -37.39



(5)
Density functional theory data (meta-GGA SCAN) for a crystal of SiGeN2 relaxed with PBEsol.

abc: 5.3620 5.3620 5.3620
angles: 90.00 90.00 90.00
Last column: nearest neighbours and their distance in Å.
Element x y z (fractional)
Si (0.0000, 0.0000, 0.0000)  8 N 2.32
Si (0.0000, 0.5000, 0.5000)  8 N 2.32
Si (0.5000, 0.0000, 0.5000)  8 N 2.32
Si (0.5000, 0.5000, 0.0000)  8 N 2.32
Ge (0.0000, 0.0000, 0.5000)  8 N 2.32
Ge (0.0000, 0.5000, 0.0000)  8 N 2.32
Ge (0.5000, 0.0000, 0.0000)  8 N 2.32
Ge (0.5000, 0.5000, 0.5000)  8 N 2.32
N (0.2500, 0.2500, 0.2500)  4 Ge 2.32, 4 Si 2.32
N (0.2500, 0.2500, 0.7500)  4 Ge 2.32, 4 Si 2.32
N (0.2500, 0.7500, 0.2500)  4 Ge 2.32, 4 Si 2.32
N (0.2500, 0.7500, 0.7500)  4 Ge 2.32, 4 Si 2.32
N (0.7500, 0.2500, 0.2500)  4 Ge 2.32, 4 Si 2.32
N (0.7500, 0.2500, 0.7500)  4 Ge 2.32, 4 Si 2.32
N (0.7500, 0.7500, 0.2500)  4 Ge 2.32, 4 Si 2.32
N (0.7500, 0.7500, 0.7500)  4 Si 2.32, 4 Ge 2.32

Summary:
- total magnetic moment (μB/cell) = 0.00
- density of states at the Fermi level (states/eV/atom) = 0.257
- crystal system = cubic
- energy (eV/atom) = -10.49



(6)
Density functional theory data (meta-GGA SCAN) for a crystal of HfNbPd3 relaxed with PBEsol.

abc: 4.7017 4.7017 4.7017
angles: 90.00 90.00 90.00
Last column: nearest neighbours and their distance in Å.
Element x y z (fractional)
Hf (0.0000, 0.0000, 0.0000)  12 Pd 3.32
Nb (0.5000, 0.5000, 0.5000)  6 Pd 2.35
Pd (0.0000, 0.5000, 0.5000)  2 Nb 2.35
Pd (0.5000, 0.0000, 0.5000)  2 Nb 2.35
Pd (0.5000, 0.5000, 0.0000)  2 Nb 2.35

Summary:
- total magnetic moment (μB/cell) = 0.00
- density of states at the Fermi level (states/eV/atom) = 0.987
- energy of formation (meV/atom) = 841
- crystal system = cubic
- energy (eV/atom) = -37.98